Below is TbPm2Pb2O2 after structural relaxation, with properties calculated at the PBE level.

Results
Formation energy (no corrections): -1.622 eV per atom
Magnetic moment: 0.00 μB per formula unit
D(E_F): 5.1 states/eV/cell
Crystal system: tetragonal

a = 4.443 Å, b = 4.443 Å, c = 8.745 Å
α = 104.72°, β = 104.72°, γ = 90.00°
Positions (direct):
Pb1 0.204 0.204 0.408
Pb2 0.796 0.796 0.592
O1 0.000 0.500 0.000
O2 0.500 0.000 0.000
Pm1 0.396 0.396 0.792
Pm2 0.604 0.604 0.208
Tb1 0.000 0.000 0.000

Below is TbPmPbO2 after structural relaxation, with properties calculated at the PBE level.

Results
Formation energy (no corrections): -2.507 eV per atom
Magnetic moment: 0.00 μB per formula unit
D(E_F): 2.3 states/eV/cell
Crystal system: tetragonal

a = 3.911 Å, b = 3.911 Å, c = 7.708 Å
α = 104.70°, β = 104.70°, γ = 90.00°
Positions (direct):
Pm1 0.832 0.832 0.664
Pb1 0.502 0.502 0.004
Tb1 0.171 0.171 0.342
O1 0.248 0.748 0.495
O2 0.748 0.248 0.495

Below is PmTc2PbO8 after structural relaxation, with properties calculated at the PBE level.

Results
Formation energy (no corrections): -1.676 eV per atom
Magnetic moment: 3.01 μB per formula unit
D(E_F): 8.4 states/eV/cell
Crystal system: trigonal

a = 6.024 Å, b = 6.024 Å, c = 7.222 Å
α = 90.00°, β = 90.00°, γ = 120.00°
Last column: magnetic moment on the atom in μB.
Positions (direct):
O1 0.667 0.333 0.962  0.13
O2 0.834 0.668 0.282  0.05
O3 0.166 0.332 0.718  0.05
O4 0.835 0.166 0.282  0.05
O5 0.165 0.834 0.718  0.05
O6 0.668 0.835 0.718  0.05
O7 0.332 0.165 0.282  0.05
O8 0.333 0.667 0.038  0.13
Tc1 0.333 0.667 0.795  0.97
Tc2 0.667 0.333 0.205  0.97
Pb1 0.000 0.000 0.000  0.06
Pm1 0.000 0.000 0.500  0.06

Below is PmTcPbO6 after structural relaxation, with properties calculated at the PBE level.

Results
Formation energy (no corrections): -1.776 eV per atom
Magnetic moment: 0.00 μB per formula unit
Crystal system: trigonal

a = 5.697 Å, b = 5.697 Å, c = 5.075 Å
α = 90.00°, β = 90.00°, γ = 59.98°
Positions (direct):
O1 0.343 0.053 0.714
O2 0.605 0.343 0.714
O3 0.605 0.052 0.286
O4 0.052 0.605 0.714
O5 0.053 0.343 0.286
O6 0.342 0.605 0.286
Pm1 0.667 0.667 0.500
Tc1 0.333 0.333 0.500
Pb1 0.000 0.000 0.000